Computed, not measured: an optimized crystal structure of RbVSi2Ru at the PBE level of DFT.

Cell: 5.0684 5.0684 4.4044 Å, 90.00 90.00 90.00°
Space group P4/mmm (No. 123)
Unique sites:
Rb: 0.0000 0.0000 0.0000 (multiplicity 1)
V: 0.0000 0.0000 0.5000 (multiplicity 1)
Si: 0.0000 0.5000 0.0000 (multiplicity 2)
Ru: 0.5000 0.5000 0.5000 (multiplicity 1)

Results
DOS at the Fermi energy in states/eV per atom: 1.40
Energy relative to the elements, uncorrected in meV/atom: 3029

***

Computed, not measured: an optimized crystal structure of RbSnRu2 at the PBE level of DFT.

Cell: 4.9571 4.9571 18.7782 Å, 90.00 90.00 90.00°
Space group I-42d (No. 122)
Unique sites:
Rb: 0.0000 0.0000 0.0000 (multiplicity 4)
Sn: 0.0000 0.0000 0.5000 (multiplicity 4)
Ru: 0.0141 0.2500 0.6250 (multiplicity 8)

Results
DOS at the Fermi energy in states/eV per atom: 1.08
E_form in eV per atom: 0.871

***

Computed, not measured: an optimized crystal structure of RbSnRu3 at the PBE level of DFT.

Cell: 5.0661 5.0661 5.0661 Å, 90.00 90.00 90.00°
Space group Pm-3m (No. 221)
Unique sites:
Rb: 0.0000 0.0000 0.0000 (multiplicity 1)
Sn: 0.5000 0.5000 0.5000 (multiplicity 1)
Ru: 0.0000 0.5000 0.5000 (multiplicity 3)

Results
DOS at the Fermi energy in states/eV per atom: 1.29
E_form in eV per atom: 1.623

***

Computed, not measured: an optimized crystal structure of RbSnRu3 at the PBE level of DFT.

Cell: 4.8841 4.8841 4.8841 Å, 90.00 90.00 90.00°
Space group Pm-3m (No. 221)
Unique sites:
Rb: 0.0000 0.0000 0.0000 (multiplicity 1)
Sn: 0.5000 0.5000 0.5000 (multiplicity 1)
Ru: 0.0000 0.0000 0.5000 (multiplicity 3)

Results
DOS at the Fermi energy in states/eV per atom: 1.64
E_form in eV per atom: 2.743

***

Computed, not measured: an optimized crystal structure of Rb2SnRu at the PBE level of DFT.

Cell: 13.2481 13.2481 5.0922 Å, 90.00 90.00 90.00°
Space group I-42d (No. 122)
Unique sites:
Rb: 0.0244 0.2500 0.1250 (multiplicity 8)
Sn: 0.0000 0.0000 0.5000 (multiplicity 4)
Ru: 0.0000 0.0000 0.0000 (multiplicity 4)

Results
DOS at the Fermi energy in states/eV per atom: 1.16
E_form in eV per atom: 0.573

***

Computed, not measured: an optimized crystal structure of Rb3SnRu at the PBE level of DFT.

Cell: 6.0280 6.0280 6.0280 Å, 90.00 90.00 90.00°
Space group Pm-3m (No. 221)
Unique sites:
Rb: 0.0000 0.0000 0.5000 (multiplicity 3)
Sn: 0.5000 0.5000 0.5000 (multiplicity 1)
Ru: 0.0000 0.0000 0.0000 (multiplicity 1)

Results
DOS at the Fermi energy in states/eV per atom: 1.58
E_form in eV per atom: 1.115

***

Computed, not measured: an optimized crystal structure of RbTa2SnRu at the PBE level of DFT.

Cell: 4.8805 4.8805 7.3248 Å, 90.00 90.00 90.00°
Space group P4/mmm (No. 123)
Unique sites:
Rb: 0.0000 0.0000 0.0000 (multiplicity 1)
Ta: 0.0000 0.5000 0.5000 (multiplicity 2)
Sn: 0.5000 0.5000 0.0000 (multiplicity 1)
Ru: 0.0000 0.0000 0.5000 (multiplicity 1)

Results
DOS at the Fermi energy in states/eV per atom: 1.30
E_form in eV per atom: 1.540

***

Computed, not measured: an optimized crystal structure of RbTl2SnRu at the PBE level of DFT.

Cell: 5.3966 5.3966 5.2326 Å, 90.00 90.00 90.00°
Space group P4/mmm (No. 123)
Unique sites:
Rb: 0.0000 0.0000 0.0000 (multiplicity 1)
Tl: 0.0000 0.5000 0.5000 (multiplicity 2)
Sn: 0.5000 0.5000 0.0000 (multiplicity 1)
Ru: 0.5000 0.5000 0.5000 (multiplicity 1)

Results
DOS at the Fermi energy in states/eV per atom: 0.92
E_form in eV per atom: 0.050

***

no.,calculated total energy (eV per atom)
1,-3.013
2,-5.010
3,-4.937
4,-3.817
5,-3.231
6,-2.121
7,-6.050
8,-3.746